PBE Tm5ThP6, optimized geometry; space-group type = C2/m (12); calculated formation energy = -1.604 eV/atom
1.0
3.451 -5.976 0.000
3.451 5.976 0.000
-2.302 0.000 6.511
Tm Th P
5 1 6
Cartesian
0.000 0.000 0.000
2.300 3.981 3.255
3.451 1.980 0.000
3.451 -1.980 0.000
2.300 -3.981 3.255
2.300 0.000 3.255
1.132 2.023 1.601
-0.039 0.000 4.900
1.132 -2.023 1.601
3.468 2.023 4.909
4.638 0.000 1.611
3.468 -2.023 4.909